Compound: ZnC3
Source: Alexandria via LeMat-Bulk
Functional: GGA-PBE
Structure: relaxed

a = 6.723 Å, b = 5.083 Å, c = 4.744 Å
α = 90.00°, β = 90.00°, γ = 90.00°
Fractional coordinates of all 16 atoms:
C (0.909, 0.849, 0.510)
C (0.409, 0.651, 0.010)
C (0.091, 0.151, 0.490)
Zn (0.632, 0.979, 0.750)
C (0.018, 0.016, 0.750)
C (0.909, 0.849, 0.990)
C (0.482, 0.516, 0.750)
Zn (0.132, 0.521, 0.250)
C (0.982, 0.984, 0.250)
C (0.091, 0.151, 0.010)
C (0.591, 0.349, 0.510)
C (0.409, 0.651, 0.490)
C (0.518, 0.484, 0.250)
C (0.591, 0.349, 0.990)
Zn (0.368, 0.021, 0.250)
Zn (0.868, 0.479, 0.750)

Output
crystal system	orthorhombic
E_tot	-88.741	eV for the cell shown
total magnetization	0.000	μB/atom
offset from the most stable computed form	1238	meV/atom
E_form	1.69	eV per atom
SG	Pnma

***

Compound: NaBeSn
Source: Alexandria via LeMat-Bulk
Functional: GGA-PBE
Structure: relaxed

a = 3.782 Å, b = 3.772 Å, c = 11.842 Å
α = 99.62°, β = 90.01°, γ = 120.09°
Fractional coordinates of all 6 atoms:
Be (0.784, 0.438, 0.772)
Be (0.451, 0.770, 0.772)
Sn (0.166, 0.200, 0.911)
Na (0.325, 0.520, 0.402)
Sn (0.069, 0.008, 0.633)
Na (0.576, 0.022, 0.143)

Output
crystal system	monoclinic
E_tot	-17.536	eV for the cell shown
total magnetization	0.000	μB/atom
offset from the most stable computed form	64	meV/atom
E_form	0.09	eV per atom
SG	Cm

***

Compound: LuGaPd
Source: Alexandria via LeMat-Bulk
Functional: GGA-PBE
Structure: relaxed

a = 3.393 Å, b = 3.393 Å, c = 5.469 Å
α = 108.07°, β = 108.07°, γ = 90.00°
Fractional coordinates of all 3 atoms:
Lu (0.616, 0.616, 0.232)
Pd (0.930, 0.930, 0.859)
Ga (0.304, 0.304, 0.609)

Output
crystal system	tetragonal
E_tot	-14.914	eV for the cell shown
total magnetization	0.000	μB/atom
E_form	-0.72	eV per atom
SG	I4mm

***

Compound: NdDyZnHg
Source: Alexandria via LeMat-Bulk
Functional: GGA-PBE
Structure: relaxed

a = 5.255 Å, b = 5.255 Å, c = 5.255 Å
α = 60.00°, β = 60.00°, γ = 60.00°
Each line ends with the local moment (μB).
Fractional coordinates of all 4 atoms:
Dy (0.750, 0.750, 0.750)  0.24
Nd (0.250, 0.250, 0.250)  0.17
Hg (0.500, 0.500, 0.500)  0.02
Zn (0.000, 0.000, 0.000)  0.02

Output
crystal system	cubic
E_tot	-12.444	eV for the cell shown
total magnetization	0.188	μB/atom
offset from the most stable computed form	29	meV/atom
E_form	-0.37	eV per atom
SG	F-43m

***

Compound: Sm12AlRu6
Source: Alexandria via LeMat-Bulk
Functional: GGA-PBE
Structure: relaxed

a = 8.660 Å, b = 8.660 Å, c = 8.660 Å
α = 109.47°, β = 109.47°, γ = 109.47°
Fractional coordinates of all 19 atoms:
Ru (0.122, 0.622, 0.500)
Sm (0.900, 0.196, 0.705)
Sm (0.295, 0.491, 0.196)
Sm (0.804, 0.705, 0.509)
Sm (0.295, 0.100, 0.804)
Sm (0.196, 0.705, 0.900)
Ru (0.622, 0.500, 0.122)
Ru (0.378, 0.500, 0.878)
Sm (0.491, 0.196, 0.295)
Sm (0.705, 0.509, 0.804)
Sm (0.100, 0.804, 0.295)
Ru (0.878, 0.378, 0.500)
Ru (0.500, 0.878, 0.378)
Sm (0.705, 0.900, 0.196)
Sm (0.804, 0.295, 0.100)
Sm (0.196, 0.295, 0.491)
Ru (0.500, 0.122, 0.622)
Al (0.000, 0.000, 0.000)
Sm (0.509, 0.804, 0.705)

Output
crystal system	cubic
E_tot	-119.767	eV for the cell shown
total magnetization	0.000	μB/atom
E_form	-0.20	eV per atom
SG	Im-3